# 1
Here is a relaxed Be3P crystal from Alexandria. Energies are from PBE-GGA.

Results
**Energy relative to the elements**: 0.29 eV per atom
**Density of states at the Fermi level**: 0.945 states/eV/f.u.
**Polymorph energy (0 for the lowest one)**: 78 meV/atom

Cell and atoms, written as extended XYZ:
```
4
Lattice="2.329 -3.365 0.000 2.329 3.365 0.000 0.000 0.000 2.485" Properties=species:S:1:pos:R:3 pbc="T T T"
Be 0.000 0.000 0.000
Be 1.165 1.682 1.243
Be 1.165 -1.682 1.243
P 2.329 0.000 0.000
```

# 2
Here is a relaxed PmZnIr crystal from Alexandria. Energies are from PBE-GGA.

Results
**Energy relative to the elements**: -0.61 eV per atom
**Density of states at the Fermi level**: 1.420 states/eV/f.u.
**Polymorph energy (0 for the lowest one)**: 0 meV/atom

Cell and atoms, written as extended XYZ:
```
9
Lattice="7.234 0.000 0.000 -3.617 6.265 0.000 0.000 0.000 4.024" Properties=species:S:1:pos:R:3 pbc="T T T"
Pm -2.139 3.704 0.000
Pm 1.478 2.560 0.000
Pm 4.278 0.000 0.000
Zn -0.872 1.510 2.012
Zn 1.744 0.000 2.012
Zn 2.745 4.754 2.012
Ir 0.000 0.000 0.000
Ir 0.000 4.176 2.012
Ir 3.617 2.088 2.012
```

> Among the records above, which one has the lowest energy relative to the elements?

PmZnIr